Record 1
A plane-wave DFT calculation with PBE was carried out for PrErPt2 after structural relaxation.

Summary:
Energy of formation from the pure elements: -1102.8 meV per atom
Symmetry: Fm-3m
Excess energy over the best structure of this formula in the dataset: 91 meV/atom

abc: 5.0293 5.0293 5.0293
angles: 60.00 60.00 60.00
Last column: nearest neighbours and their distance in Å.
Atoms (fractional coordinates):
Pr 0.5000 0.5000 0.5000  8 Pt 3.08
Pt 0.2500 0.2500 0.2500  4 Er 3.08, 4 Pr 3.08
Pt 0.7500 0.7500 0.7500  4 Er 3.08, 4 Pr 3.08
Er 0.0000 0.0000 0.0000  8 Pt 3.08

Record 2
A plane-wave DFT calculation with PBE was carried out for Pr2ErPt after structural relaxation.

Summary:
Energy of formation from the pure elements: -445.9 meV per atom
Symmetry: P4/mmm
Excess energy over the best structure of this formula in the dataset: 117 meV/atom

abc: 3.7297 3.7297 8.3447
angles: 90.00 90.00 90.00
Last column: nearest neighbours and their distance in Å.
Atoms (fractional coordinates):
Pr 0.0000 0.0000 0.7962  4 Pt 3.14, 1 Pr 3.40
Pr 0.0000 0.0000 0.2038  4 Pt 3.14, 1 Pr 3.40
Pt 0.5000 0.5000 0.0000  8 Pr 3.14
Er 0.5000 0.5000 0.5000  8 Pr 3.61, 4 Er 3.73

Record 3
A plane-wave DFT calculation with PBE was carried out for PrErPt2 after structural relaxation.

Summary:
Energy of formation from the pure elements: -1194.3 meV per atom
Symmetry: Amm2
Excess energy over the best structure of this formula in the dataset: 0 meV/atom

abc: 3.8441 4.5307 5.6988
angles: 90.00 109.76 90.00
Last column: nearest neighbours and their distance in Å.
Atoms (fractional coordinates):
Pr 0.7217 0.0000 0.9824  7 Pt 2.92-3.11
Er 0.4469 0.5000 0.4328  7 Pt 2.98-3.06
Pt 0.1686 0.5000 0.8763  2 Pt 2.94, 3 Er 2.98-3.06, 4 Pr 3.02-3.03
Pt 0.9938 0.0000 0.5265  3 Pr 2.92-3.11, 2 Pt 2.94, 4 Er 3.01

Record 4
A plane-wave DFT calculation with PBE was carried out for PrEr2Pt after structural relaxation.

Summary:
Energy of formation from the pure elements: -539.3 meV per atom
Symmetry: R-3m
Excess energy over the best structure of this formula in the dataset: 133 meV/atom

abc: 3.8680 3.8680 9.6842
angles: 78.48 78.48 60.00
Last column: nearest neighbours and their distance in Å.
Atoms (fractional coordinates):
Pr 0.5000 0.5000 0.5000  6 Er 3.78, 6 Pr 3.87
Pt 0.0000 0.0000 0.0000  6 Er 2.78
Er 0.2745 0.2745 0.1764  3 Pt 2.78
Er 0.7255 0.7255 0.8236  3 Pt 2.78

Record 5
A plane-wave DFT calculation with PBE was carried out for PrErPt2 after structural relaxation.

Summary:
Energy of formation from the pure elements: -1128.8 meV per atom
Symmetry: P4/mmm
Excess energy over the best structure of this formula in the dataset: 66 meV/atom

abc: 3.5272 3.5272 7.1811
angles: 90.00 90.00 90.00
Last column: nearest neighbours and their distance in Å.
Atoms (fractional coordinates):
Pr 0.5000 0.5000 0.5000  8 Pt 3.18, 4 Pr 3.53
Pt 0.0000 0.0000 0.7744  4 Er 2.97, 4 Pr 3.18, 1 Pt 3.24
Pt 0.0000 0.0000 0.2256  4 Er 2.97, 4 Pr 3.18, 1 Pt 3.24
Er 0.5000 0.5000 0.0000  8 Pt 2.97

Record 6
A plane-wave DFT calculation with PBE was carried out for Pr2Er3Pt4 after structural relaxation.

Summary:
Energy of formation from the pure elements: -1019.7 meV per atom
Symmetry: Cmce
Excess energy over the best structure of this formula in the dataset: 143 meV/atom

abc: 7.2190 7.7648 8.7416
angles: 90.00 114.39 90.00
Last column: nearest neighbours and their distance in Å.
Atoms (fractional coordinates):
Pr 0.0995 0.5978 0.1991  5 Pt 3.09-3.39
Pr 0.9005 0.4022 0.8009  5 Pt 3.09-3.39
Pr 0.4005 0.0978 0.8009  5 Pt 3.09-3.39
Pr 0.5995 0.9022 0.1991  5 Pt 3.09-3.39
Er 0.0000 0.0000 0.0000  4 Pt 2.72
Er 0.5000 0.5000 0.0000  4 Pt 2.72
Er 0.5360 0.7500 0.5720  5 Pt 2.79-2.96
Er 0.9640 0.2500 0.4280  5 Pt 2.79-2.96
Er 0.4640 0.2500 0.4280  5 Pt 2.79-2.96
Er 0.0360 0.7500 0.5720  5 Pt 2.79-2.96
Pt 0.7110 0.7500 0.9221  3 Er 2.72-2.79
Pt 0.7890 0.2500 0.0779  3 Er 2.72-2.79
Pt 0.2890 0.2500 0.0779  3 Er 2.72-2.79
Pt 0.2110 0.7500 0.9221  3 Er 2.72-2.79
Pt 0.1908 0.9520 0.3817  5 Er 2.83-3.06, 1 Pr 3.11
Pt 0.8092 0.0480 0.6183  5 Er 2.83-3.06, 1 Pr 3.11
Pt 0.3092 0.4520 0.6183  5 Er 2.83-3.06, 1 Pr 3.11
Pt 0.6908 0.5480 0.3817  5 Er 2.83-3.06, 1 Pr 3.11